The following is a DFT calculation (GGA-PBE) of crystalline Lu11Te4 at its relaxed geometry.

Geometry as POSCAR:
```
Lu11Te4
1.0
-9.368 11.289 4.754
-11.136 10.588 1.301
-9.079 -17.359 8.172
Lu Te
33 12
direct
0.000 0.000 0.000
0.426 0.426 0.038
0.255 0.255 0.073
0.127 0.127 0.092
0.849 0.849 0.096
0.543 0.543 0.117
0.968 0.968 0.165
0.796 0.796 0.219
0.394 0.394 0.221
0.659 0.659 0.255
0.536 0.536 0.308
0.243 0.243 0.346
0.131 0.131 0.369
0.439 0.439 0.414
0.828 0.828 0.435
0.032 0.032 0.445
0.714 0.714 0.456
0.286 0.286 0.544
0.968 0.968 0.555
0.172 0.172 0.565
0.561 0.561 0.586
0.869 0.869 0.631
0.757 0.757 0.654
0.464 0.464 0.692
0.341 0.341 0.745
0.606 0.606 0.779
0.204 0.204 0.781
0.032 0.032 0.835
0.457 0.457 0.883
0.151 0.151 0.904
0.873 0.873 0.908
0.745 0.745 0.927
0.574 0.574 0.962
0.678 0.678 0.020
0.216 0.216 0.194
0.080 0.080 0.225
0.958 0.958 0.311
0.342 0.342 0.328
0.612 0.612 0.473
0.388 0.388 0.527
0.658 0.658 0.672
0.042 0.042 0.689
0.920 0.920 0.775
0.784 0.784 0.806
0.322 0.322 0.980
```

total magnetic moment: 0.19 μB/cell
space-group type: C2/m, No. 12
total energy: -4.789 eV per atom
ρ: 9.7 g cm⁻³


The following is a DFT calculation (GGA-PBE) of crystalline Lu2Te at its relaxed geometry.

Geometry as POSCAR:
```
Lu2Te
1.0
-8.126 1.171 5.586
-2.858 -7.225 6.183
0.859 1.236 9.815
Lu Te
4 2
direct
0.875 0.375 0.375
0.375 0.875 0.375
0.375 0.375 0.375
0.375 0.375 0.875
0.250 0.250 0.250
0.500 0.500 0.500
```

total magnetic moment: 4.18 μB/cell
space-group type: Fd-3m, No. 227
total energy: -2.985 eV per atom
ρ: 2.3 g cm⁻³


The following is a DFT calculation (GGA-PBE) of crystalline LuTe2 at its relaxed geometry.

Geometry as POSCAR:
```
LuTe2
1.0
-1.988 -8.563 2.767
5.776 -4.488 5.606
-2.378 -1.575 8.763
Lu Te
2 4
direct
0.250 0.250 0.250
0.500 0.500 0.500
0.875 0.375 0.375
0.375 0.375 0.375
0.375 0.875 0.375
0.375 0.375 0.875
```

total magnetic moment: 0.08 μB/cell
space-group type: Fd-3m, No. 227
total energy: -4.044 eV per atom
ρ: 2.6 g cm⁻³


The following is a DFT calculation (GGA-PBE) of crystalline Lu2Te at its relaxed geometry.

Geometry as POSCAR:
```
Lu2Te
1.0
-1.369 3.833 4.791
-3.868 4.876 -0.883
-5.757 -0.057 2.525
Lu Te
4 2
direct
0.625 0.625 0.125
0.625 0.125 0.625
0.125 0.625 0.625
0.625 0.625 0.625
0.000 0.000 0.000
0.250 0.250 0.250
```

total magnetic moment: 0.01 μB/cell
space-group type: Fd-3m, No. 227
total energy: -4.173 eV per atom
ρ: 9.0 g cm⁻³


The following is a DFT calculation (GGA-PBE) of crystalline LuTlTe at its relaxed geometry.

Geometry as POSCAR:
```
LuTlTe
1.0
1.165 -4.725 -1.674
-1.423 -4.122 2.733
-3.715 -3.096 -1.759
Lu Te Tl
1 1 1
direct
0.250 0.250 0.250
0.000 0.000 0.000
0.750 0.750 0.750
```

total magnetic moment: 0.00 μB/cell
space-group type: F-43m, No. 216
excess energy over the best structure of this formula in the dataset: 0.0 kJ/mol of formula units
ρ: 8.7 g cm⁻³


The following is a DFT calculation (GGA-PBE) of crystalline YLuTlTe3 at its relaxed geometry.

Geometry as POSCAR:
```
YLuTlTe3
1.0
9.427 -2.165 0.000
9.427 2.165 0.000
-2.297 0.000 9.763
Lu Te Tl Y
2 6 2 2
direct
0.502 0.502 0.210
0.498 0.498 0.790
0.000 0.000 0.000
0.337 0.337 0.152
0.665 0.665 0.288
0.500 0.500 0.500
0.335 0.335 0.712
0.663 0.663 0.848
0.856 0.856 0.448
0.144 0.144 0.552
0.170 0.170 0.073
0.830 0.830 0.927
```

total magnetic moment: 0.01 μB/cell
space-group type: C2/m, No. 12
excess energy over the best structure of this formula in the dataset: 0.0 kJ/mol of formula units
ρ: 7.1 g cm⁻³


The following is a DFT calculation (GGA-PBE) of crystalline YLuTlTe3 at its relaxed geometry.

Geometry as POSCAR:
```
YLuTlTe3
1.0
4.188 1.093 -6.658
-6.051 -3.629 3.644
-7.237 8.974 -3.079
Lu Te Tl Y
2 6 2 2
direct
0.500 0.500 0.000
0.500 0.500 0.500
0.859 0.141 0.022
0.565 0.435 0.250
0.859 0.141 0.478
0.141 0.859 0.522
0.435 0.565 0.750
0.141 0.859 0.978
0.250 0.750 0.250
0.750 0.250 0.750
0.931 0.069 0.250
0.069 0.931 0.750
```

total magnetic moment: 0.81 μB/cell
space-group type: Cmcm, No. 63
excess energy over the best structure of this formula in the dataset: 43.9 kJ/mol of formula units
ρ: 7.1 g cm⁻³


The following is a DFT calculation (GGA-PBE) of crystalline YLuTlTe3 at its relaxed geometry.

Geometry as POSCAR:
```
YLuTlTe3
1.0
-6.235 1.048 4.842
2.771 -2.824 -6.911
2.279 -10.511 5.210
Lu Te Tl Y
2 6 2 2
direct
0.940 0.060 0.250
0.060 0.940 0.750
0.858 0.142 0.033
0.566 0.434 0.250
0.858 0.142 0.467
0.142 0.858 0.533
0.434 0.566 0.750
0.142 0.858 0.967
0.253 0.747 0.250
0.747 0.253 0.750
0.500 0.500 0.000
0.500 0.500 0.500
```

total magnetic moment: 0.30 μB/cell
space-group type: Cmcm, No. 63
excess energy over the best structure of this formula in the dataset: 30.9 kJ/mol of formula units
ρ: 7.0 g cm⁻³


The following is a DFT calculation (GGA-PBE) of crystalline Tm5Lu3Te at its relaxed geometry.

Geometry as POSCAR:
```
Tm5Lu3Te
1.0
-8.034 3.957 1.284
3.167 -5.890 6.094
1.656 2.772 1.819
Lu Te Tm
3 1 5
direct
0.277 0.000 0.500
0.000 0.277 0.500
0.723 0.723 0.500
0.000 0.000 0.000
0.614 0.000 0.000
0.386 0.386 0.000
0.000 0.614 0.000
0.667 0.333 0.500
0.333 0.667 0.500
```

total magnetic moment: 0.01 μB/cell
space-group type: P-62m, No. 189
excess energy over the best structure of this formula in the dataset: 2.9 kJ/mol of formula units
ρ: 9.5 g cm⁻³


The following is a DFT calculation (GGA-PBE) of crystalline Tm3Lu5Te at its relaxed geometry.

Geometry as POSCAR:
```
Tm3Lu5Te
1.0
9.034 0.000 0.000
-4.517 7.823 0.000
0.000 0.000 3.699
Lu Te Tm
5 1 3
direct
0.277 0.000 0.500
0.000 0.277 0.500
0.667 0.333 0.500
0.333 0.667 0.500
0.723 0.723 0.500
0.000 0.000 0.000
0.614 0.000 0.000
0.386 0.386 0.000
0.000 0.614 0.000
```

total magnetic moment: 0.01 μB/cell
space-group type: P-62m, No. 189
excess energy over the best structure of this formula in the dataset: 2.6 kJ/mol of formula units
ρ: 9.6 g cm⁻³


The following is a DFT calculation (GGA-PBE) of crystalline Tm3Lu5Te at its relaxed geometry.

Geometry as POSCAR:
```
Tm3Lu5Te
1.0
-3.283 7.575 3.686
-5.040 -4.754 -5.809
-1.383 -1.967 2.810
Lu Te Tm
5 1 3
direct
0.614 0.000 0.000
0.386 0.386 0.000
0.000 0.614 0.000
0.667 0.333 0.500
0.333 0.667 0.500
0.000 0.000 0.000
0.277 0.000 0.500
0.000 0.277 0.500
0.723 0.723 0.500
```

total magnetic moment: 0.03 μB/cell
space-group type: P-62m, No. 189
excess energy over the best structure of this formula in the dataset: 0.0 kJ/mol of formula units
ρ: 9.6 g cm⁻³


The following is a DFT calculation (GGA-PBE) of crystalline TmLuTe at its relaxed geometry.

Geometry as POSCAR:
```
TmLuTe
1.0
-0.484 0.627 4.932
-4.456 1.142 1.947
-2.479 -3.381 2.716
Lu Te Tm
1 1 1
direct
0.500 0.500 0.500
0.250 0.250 0.250
0.000 0.000 0.000
```

total magnetic moment: 1.09 μB/cell
space-group type: F-43m, No. 216
excess energy over the best structure of this formula in the dataset: 0.0 kJ/mol of formula units
ρ: 8.9 g cm⁻³


The following is a DFT calculation (GGA-PBE) of crystalline Tm6Lu2Te at its relaxed geometry.

Geometry as POSCAR:
```
Tm6Lu2Te
1.0
-1.573 -5.040 7.374
-5.080 -1.123 -7.428
2.383 -2.561 -1.242
Lu Te Tm
2 1 6
direct
0.667 0.333 0.500
0.333 0.667 0.500
0.000 0.000 0.000
0.614 0.000 0.000
0.386 0.386 0.000
0.000 0.614 0.000
0.277 0.000 0.500
0.000 0.277 0.500
0.723 0.723 0.500
```

total magnetic moment: 0.01 μB/cell
space-group type: P-62m, No. 189
total energy: -4.617 eV per atom
ρ: 9.4 g cm⁻³


The following is a DFT calculation (GGA-PBE) of crystalline Tm5Lu3Te at its relaxed geometry.

Geometry as POSCAR:
```
Tm5Lu3Te
1.0
-4.556 -4.190 6.611
8.155 3.566 1.677
-1.596 3.211 0.935
Lu Te Tm
3 1 5
direct
0.614 0.000 0.000
0.386 0.386 0.000
0.000 0.614 0.000
0.000 0.000 0.000
0.277 0.000 0.500
0.000 0.277 0.500
0.667 0.333 0.500
0.333 0.667 0.500
0.723 0.723 0.500
```

total magnetic moment: 0.02 μB/cell
space-group type: P-62m, No. 189
excess energy over the best structure of this formula in the dataset: 0.0 kJ/mol of formula units
ρ: 9.4 g cm⁻³


The following is a DFT calculation (GGA-PBE) of crystalline Y2Tm3Lu3Te at its relaxed geometry.

Geometry as POSCAR:
```
Y2Tm3Lu3Te
1.0
9.110 0.000 0.000
-4.555 7.890 0.000
0.000 0.000 3.725
Lu Te Tm Y
3 1 3 2
direct
0.616 0.000 0.000
0.384 0.384 0.000
0.000 0.616 0.000
0.000 0.000 0.000
0.276 0.000 0.500
0.000 0.276 0.500
0.724 0.724 0.500
0.667 0.333 0.500
0.333 0.667 0.500
```

total magnetic moment: 0.02 μB/cell
space-group type: P-62m, No. 189
excess energy over the best structure of this formula in the dataset: 0.0 kJ/mol of formula units
ρ: 8.3 g cm⁻³


The following is a DFT calculation (GGA-PBE) of crystalline Y3Tm3Lu2Te at its relaxed geometry.

Geometry as POSCAR:
```
Y3Tm3Lu2Te
1.0
-7.246 -0.029 5.593
1.036 -6.671 -6.183
1.935 -2.013 2.497
Lu Te Tm Y
2 1 3 3
direct
0.667 0.333 0.500
0.333 0.667 0.500
0.000 0.000 0.000
0.614 0.000 0.000
0.386 0.386 0.000
0.000 0.614 0.000
0.277 0.000 0.500
0.000 0.277 0.500
0.723 0.723 0.500
```

total magnetic moment: 0.04 μB/cell
space-group type: P-62m, No. 189
excess energy over the best structure of this formula in the dataset: 0.0 kJ/mol of formula units
ρ: 7.6 g cm⁻³


The following is a DFT calculation (GGA-PBE) of crystalline LuTeW at its relaxed geometry.

Geometry as POSCAR:
```
LuTeW
1.0
0.000 3.298 3.298
3.298 0.000 3.298
3.298 3.298 0.000
Lu Te W
1 1 1
direct
0.250 0.250 0.250
0.000 0.000 0.000
0.750 0.750 0.750
```

total magnetic moment: 1.17 μB/cell
space-group type: F-43m, No. 216
total energy: -6.220 eV per atom
ρ: 11.3 g cm⁻³


The following is a DFT calculation (GGA-PBE) of crystalline YLu2Te at its relaxed geometry.

Geometry as POSCAR:
```
YLu2Te
1.0
2.699 1.558 4.407
-2.699 1.558 4.407
0.000 -3.116 4.407
Lu Te Y
2 1 1
direct
0.500 0.500 0.500
0.750 0.750 0.750
0.250 0.250 0.250
0.000 0.000 0.000
```

total magnetic moment: 0.02 μB/cell
space-group type: F-43m, No. 216
total energy: -4.811 eV per atom
ρ: 8.5 g cm⁻³


The following is a DFT calculation (GGA-PBE) of crystalline Y2Lu6Te at its relaxed geometry.

Geometry as POSCAR:
```
Y2Lu6Te
1.0
-6.416 6.133 1.884
-0.575 -4.993 -7.554
-1.923 -2.580 1.852
Lu Te Y
6 1 2
direct
0.616 0.000 0.000
0.384 0.384 0.000
0.000 0.616 0.000
0.276 0.000 0.500
0.000 0.276 0.500
0.724 0.724 0.500
0.000 0.000 0.000
0.667 0.333 0.500
0.333 0.667 0.500
```

total magnetic moment: 0.02 μB/cell
space-group type: P-62m, No. 189
total energy: -5.069 eV per atom
ρ: 8.5 g cm⁻³


The following is a DFT calculation (GGA-PBE) of crystalline YLuZnTe3 at its relaxed geometry.

Geometry as POSCAR:
```
YLuZnTe3
1.0
2.059 -7.451 0.000
2.059 7.451 0.000
0.000 0.000 10.485
Lu Te Y Zn
2 6 2 2
direct
0.500 0.500 0.000
0.500 0.500 0.500
0.850 0.150 0.047
0.615 0.385 0.250
0.850 0.150 0.453
0.150 0.850 0.547
0.385 0.615 0.750
0.150 0.850 0.953
0.278 0.722 0.250
0.722 0.278 0.750
0.976 0.024 0.250
0.024 0.976 0.750
```

total magnetic moment: 0.02 μB/cell
space-group type: Cmcm, No. 63
total energy: -4.516 eV per atom
ρ: 7.4 g cm⁻³